(1)
## CsVGa3 (GGA-PBE)

Data for a geometry-optimized CsVGa3 structure.

Cell lengths 5.091, 5.091, 5.091 Å; angles 90.00, 90.00, 90.00 degrees
Last column: magnetic moment on the atom in μB.
Positions (direct):
Cs 0.500 0.500 0.500  0.00
Ga 0.000 0.500 0.000  0.01
Ga 0.000 0.000 0.500  0.01
Ga 0.500 0.000 0.000  0.01
V 0.000 0.000 0.000  0.34

Raw total energy ... -3.586 eV/atom
Calculated density ... 4.95 Mg/m³
Formation energy ... 1.121 eV per formula unit
Size of the total moment ... 0.437 μB per cell

***

(2)
## NdTmHg (GGA-PBE)

Data for a geometry-optimized NdTmHg structure.

Cell lengths 5.155, 5.155, 5.155 Å; angles 60.00, 60.00, 60.00 degrees
Positions (direct):
Tm 0.000 0.000 0.000
Nd 0.500 0.500 0.500
Hg 0.250 0.250 0.250

Raw total energy ... -3.277 eV/atom
Calculated density ... 8.81 Mg/m³
Formation energy ... -0.289 eV per formula unit
Size of the total moment ... 0.002 μB per cell

***

(3)
## TaHg (GGA-PBE)

Data for a geometry-optimized TaHg structure.

Cell lengths 3.009, 6.277, 4.195 Å; angles 90.00, 90.00, 90.00 degrees
Positions (direct):
Hg 0.000 0.130 0.500
Hg 0.500 0.870 0.000
Ta 0.000 0.609 0.500
Ta 0.500 0.391 0.000

Raw total energy ... -5.678 eV/atom
Calculated density ... 15.99 Mg/m³
Formation energy ... 0.798 eV per formula unit
Size of the total moment ... 0.000 μB per cell

***

Calculated N(E_F) (states/eV per cell), listed in the same order as above: 8.52, 4.23, 3.16